Density functional theory data (PBE-GGA) for a relaxed structure of Ti2CoTc.

Geometry as extended XYZ:
```
8
Lattice="-3.304 3.304 2.727 3.304 -3.304 2.727 3.304 3.304 -2.727" Properties=species:S:1:pos:R:3 pbc="T T T"
Ti 4.956 1.513 -0.682
Ti 1.513 1.652 0.682
Ti -1.652 1.791 2.045
Ti 1.791 1.652 3.409
Co 0.000 0.000 0.000
Co 0.000 3.304 1.364
Tc 3.304 0.000 1.364
Tc 0.000 0.000 2.727
```

Calculated formation energy ... 0.100 eV/atom
Calculated volume ... 14.9 A^3/atom
Calculated total energy ... -8.22 eV/atom
Energy above the lowest structure with this stoichiometry ... 610.7 meV/atom